Here is crystalline Pm3PbSeBr at its relaxed geometry from Alexandria. Energies are from GGA-PBE.

The energy relative to the elements, uncorrected comes out at -1171 meV per atom.

The space group is P2_1/m (No. 11) and the conventional cell measures 8.780, 4.175 and 10.557 Å, with angles of 90.00, 108.22 and 90.00 degrees. Symmetry generates all atoms from Pm at (0.163, 0.250, 0.487), Pm at (0.175, 0.250, 0.100), Pm at (0.334, 0.750, 0.839), Pb at (0.028, 0.250, 0.759), Se at (0.414, 0.750, 0.128) and Br at (0.408, 0.750, 0.583).

=====

Here is crystalline TbPmPbBr at its relaxed geometry from Alexandria. Energies are from GGA-PBE.

The energy relative to the elements, uncorrected comes out at -726 meV per atom.

The space group is F-43m (No. 216) and the conventional cell measures 7.655, 7.655 and 7.655 Å, with angles of 90.00, 90.00 and 90.00 degrees. Symmetry generates all atoms from Tb at (0.000, 0.000, 0.000), Pm at (0.000, 0.000, 0.500), Pb at (0.250, 0.250, 0.750) and Br at (0.250, 0.250, 0.250).

=====

no.,uncorrected energy (eV per formula unit)
1,-30.14
2,-17.67